--- 1 ---
{
  "formula": "PuAgSnBi",
  "functional": "GGA-PBE",
  "state": "optimized geometry",
  "lattice_angstrom": [[4.371, 0.000, 0.000], [0.000, 4.760, 0.000], [0.000, 0.000, 4.858]],
  "species": ["Pu", "Ag", "Sn", "Bi"],
  "frac_coords": [[0.500, 0.000, 0.500], [0.500, 0.500, 0.000], [0.000, 0.000, 0.000], [0.000, 0.500, 0.500]]
}

***

--- 2 ---
{
  "formula": "PuAgSnBi",
  "functional": "GGA-PBE",
  "state": "optimized geometry",
  "lattice_angstrom": [[-2.841, 0.547, -4.473], [-0.212, -3.988, -3.525], [-4.516, -2.752, -0.641]],
  "species": ["Ag", "Bi", "Sn", "Pu"],
  "frac_coords": [[0.750, 0.750, 0.750], [0.500, 0.500, 0.500], [0.250, 0.250, 0.250], [0.000, 0.000, 0.000]]
}

***

It is 2 that is the least stable of them.

***

--- 1 ---
{
  "formula": "RbAgBi",
  "functional": "GGA-PBE",
  "state": "optimized geometry",
  "lattice_angstrom": [[-1.221, -1.315, 3.711], [3.879, -1.066, 0.898], [-0.271, 7.099, 0.137]],
  "species": ["Rb", "Bi", "Ag"],
  "frac_coords": [[0.005, 0.005, 0.009], [0.721, 0.721, 0.443], [0.274, 0.274, 0.548]]
}

***

--- 2 ---
{
  "formula": "RbAgBi",
  "functional": "GGA-PBE",
  "state": "optimized geometry",
  "lattice_angstrom": [[-4.190, -3.549, 0.939], [3.003, -2.851, 2.628], [-2.535, 3.576, 2.200]],
  "species": ["Rb", "Bi", "Ag"],
  "frac_coords": [[0.667, 0.667, 0.333], [0.167, 0.000, 0.000], [0.167, 0.333, 0.667]]
}

***

--- 3 ---
{
  "formula": "RbAgBi",
  "functional": "GGA-PBE",
  "state": "optimized geometry",
  "lattice_angstrom": [[6.601, -1.130, 2.202], [2.290, 4.225, 0.651], [4.987, -1.275, 8.858]],
  "species": ["Rb", "Rb", "Ag", "Ag", "Bi", "Bi"],
  "frac_coords": [[0.410, 0.117, 0.355], [0.590, 0.883, 0.645], [0.669, 0.209, 0.913], [0.331, 0.791, 0.087], [0.978, 0.587, 0.848], [0.022, 0.413, 0.152]]
}

***

It is 1 that is the least stable of them.

***

--- 1 ---
{
  "formula": "RbAgBi2",
  "functional": "GGA-PBE",
  "state": "optimized geometry",
  "lattice_angstrom": [[7.083, 0.000, 0.000], [0.000, 8.577, 0.000], [0.000, 0.000, 9.221]],
  "species": ["Rb", "Rb", "Rb", "Rb", "Ag", "Ag", "Ag", "Ag", "Bi", "Bi", "Bi", "Bi", "Bi", "Bi", "Bi", "Bi"],
  "frac_coords": [[0.365, 0.250, 0.038], [0.865, 0.750, 0.462], [0.635, 0.750, 0.962], [0.135, 0.250, 0.538], [0.673, 0.250, 0.409], [0.173, 0.750, 0.091], [0.327, 0.750, 0.591], [0.827, 0.250, 0.909], [0.880, 0.071, 0.181], [0.380, 0.929, 0.319], [0.120, 0.571, 0.819], [0.620, 0.429, 0.681], [0.120, 0.929, 0.819], [0.620, 0.071, 0.681], [0.880, 0.429, 0.181], [0.380, 0.571, 0.319]]
}

***

--- 2 ---
{
  "formula": "RbAgBi2",
  "functional": "GGA-PBE",
  "state": "optimized geometry",
  "lattice_angstrom": [[0.000, 3.948, 3.948], [3.948, 0.000, 3.948], [3.948, 3.948, 0.000]],
  "species": ["Rb", "Bi", "Bi", "Ag"],
  "frac_coords": [[0.000, 0.000, 0.000], [0.250, 0.250, 0.250], [0.750, 0.750, 0.750], [0.500, 0.500, 0.500]]
}

***

It is 2 that is the least stable of them.

***

--- 1 ---
{
  "formula": "RbAgBi2",
  "functional": "GGA-PBE",
  "state": "optimized geometry",
  "lattice_angstrom": [[-4.567, -0.104, 0.731], [-2.874, -1.050, -3.470], [-1.895, -9.710, 1.423]],
  "species": ["Rb", "Bi", "Bi", "Ag"],
  "frac_coords": [[0.000, 0.000, 0.000], [0.127, 0.127, 0.620], [0.873, 0.873, 0.380], [0.500, 0.500, 0.500]]
}

***

--- 2 ---
{
  "formula": "RbAgBi2",
  "functional": "GGA-PBE",
  "state": "optimized geometry",
  "lattice_angstrom": [[-0.576, 5.208, -1.738], [-2.711, 1.250, 4.643], [7.301, 5.736, 6.000]],
  "species": ["Rb", "Rb", "Bi", "Bi", "Bi", "Bi", "Ag", "Ag"],
  "frac_coords": [[0.500, 0.500, 0.000], [0.250, 0.750, 0.500], [0.737, 0.125, 0.250], [0.013, 0.625, 0.250], [0.375, 0.263, 0.750], [0.875, 0.987, 0.750], [0.000, 0.000, 0.000], [0.750, 0.250, 0.500]]
}

***

It is 1 that is the least stable of them.

***

--- 1 ---
{
  "formula": "AgBi2Rh2",
  "functional": "GGA-PBE",
  "state": "optimized geometry",
  "lattice_angstrom": [[7.564, 0.000, 0.000], [0.000, 7.564, 0.000], [0.000, 0.000, 3.570]],
  "species": ["Rh", "Rh", "Rh", "Rh", "Bi", "Bi", "Bi", "Bi", "Ag", "Ag"],
  "frac_coords": [[0.363, 0.863, 0.000], [0.863, 0.637, 0.000], [0.637, 0.137, 0.000], [0.137, 0.363, 0.000], [0.160, 0.660, 0.500], [0.660, 0.840, 0.500], [0.840, 0.340, 0.500], [0.340, 0.160, 0.500], [0.000, 0.000, 0.000], [0.500, 0.500, 0.000]]
}

***

--- 2 ---
{
  "formula": "AgBi2Rh2",
  "functional": "GGA-PBE",
  "state": "optimized geometry",
  "lattice_angstrom": [[4.573, 0.000, 0.000], [0.000, 4.573, 0.000], [2.286, 2.286, 5.627]],
  "species": ["Rh", "Rh", "Bi", "Bi", "Ag"],
  "frac_coords": [[0.388, 0.388, 0.225], [0.612, 0.612, 0.775], [0.750, 0.250, 0.500], [0.250, 0.750, 0.500], [0.000, 0.000, 0.000]]
}

***

It is 2 that is the least stable of them.

***

--- 1 ---
{
  "formula": "AgBi3Rh",
  "functional": "GGA-PBE",
  "state": "optimized geometry",
  "lattice_angstrom": [[-3.027, 4.217, 1.164], [-2.657, -0.648, -4.563], [-3.475, -3.178, 2.475]],
  "species": ["Rh", "Bi", "Bi", "Bi", "Ag"],
  "frac_coords": [[0.000, 0.000, 0.000], [0.000, 0.500, 0.000], [0.000, 0.000, 0.500], [0.500, 0.000, 0.000], [0.500, 0.500, 0.500]]
}

***

--- 2 ---
{
  "formula": "AgBi3Rh",
  "functional": "GGA-PBE",
  "state": "optimized geometry",
  "lattice_angstrom": [[6.393, 0.000, 0.385], [0.000, 6.610, 0.000], [0.109, 0.000, 12.151]],
  "species": ["Ag", "Ag", "Ag", "Ag", "Bi", "Bi", "Bi", "Bi", "Bi", "Bi", "Bi", "Bi", "Bi", "Bi", "Bi", "Bi", "Rh", "Rh", "Rh", "Rh"],
  "frac_coords": [[0.352, 0.513, 0.100], [0.148, 0.013, 0.400], [0.648, 0.487, 0.900], [0.852, 0.987, 0.600], [0.186, 0.635, 0.610], [0.314, 0.135, 0.890], [0.814, 0.365, 0.390], [0.686, 0.865, 0.110], [0.804, 0.997, 0.845], [0.696, 0.497, 0.655], [0.196, 0.003, 0.155], [0.304, 0.503, 0.345], [0.677, 0.868, 0.384], [0.823, 0.368, 0.116], [0.323, 0.132, 0.616], [0.177, 0.632, 0.884], [0.978, 0.675, 0.242], [0.522, 0.175, 0.258], [0.022, 0.325, 0.758], [0.478, 0.825, 0.742]]
}

***

It is 1 that is the least stable of them.

***

--- 1 ---
{
  "formula": "AgBiRh",
  "functional": "GGA-PBE",
  "state": "optimized geometry",
  "lattice_angstrom": [[-3.459, 0.260, 2.914], [-3.545, -2.786, -0.438], [-0.668, -3.307, 3.023]],
  "species": ["Rh", "Bi", "Ag"],
  "frac_coords": [[0.250, 0.250, 0.250], [0.000, 0.000, 0.000], [0.500, 0.500, 0.500]]
}

***

--- 2 ---
{
  "formula": "AgBiRh",
  "functional": "GGA-PBE",
  "state": "optimized geometry",
  "lattice_angstrom": [[-3.337, -0.829, 0.782], [0.403, -3.123, -1.587], [2.911, 0.062, 4.535]],
  "species": ["Rh", "Bi", "Ag"],
  "frac_coords": [[0.324, 0.324, 0.649], [0.684, 0.684, 0.367], [0.992, 0.992, 0.984]]
}

***

It is 2 that is the least stable of them.

***

--- 1 ---
{
  "formula": "AgBi2Ru",
  "functional": "GGA-PBE",
  "state": "optimized geometry",
  "lattice_angstrom": [[-3.692, 2.801, 1.802], [-2.114, 3.472, -2.865], [-4.643, -0.637, -1.662]],
  "species": ["Ru", "Bi", "Bi", "Ag"],
  "frac_coords": [[0.000, 0.000, 0.000], [0.250, 0.250, 0.250], [0.750, 0.750, 0.750], [0.500, 0.500, 0.500]]
}

***

--- 2 ---
{
  "formula": "AgBi2Ru",
  "functional": "GGA-PBE",
  "state": "optimized geometry",
  "lattice_angstrom": [[-3.528, -4.940, -2.932], [5.144, -4.248, 0.967], [-1.249, -5.987, 3.840]],
  "species": ["Ru", "Ru", "Bi", "Bi", "Bi", "Bi", "Ag", "Ag"],
  "frac_coords": [[0.500, 0.500, 0.000], [0.250, 0.750, 0.500], [0.594, 0.125, 0.250], [0.156, 0.625, 0.250], [0.375, 0.406, 0.750], [0.875, 0.844, 0.750], [0.000, 0.000, 0.000], [0.750, 0.250, 0.500]]
}

***

It is 2 that is the least stable of them.

***

--- 1 ---
{
  "formula": "Ag2Bi2S",
  "functional": "GGA-PBE",
  "state": "optimized geometry",
  "lattice_angstrom": [[7.133, 0.000, 0.000], [0.000, 7.133, 0.000], [0.000, 0.000, 4.741]],
  "species": ["S", "S", "Bi", "Bi", "Bi", "Bi", "Ag", "Ag", "Ag", "Ag"],
  "frac_coords": [[0.000, 0.000, 0.000], [0.500, 0.500, 0.000], [0.157, 0.657, 0.500], [0.657, 0.843, 0.500], [0.843, 0.343, 0.500], [0.343, 0.157, 0.500], [0.360, 0.860, 0.000], [0.860, 0.640, 0.000], [0.640, 0.140, 0.000], [0.140, 0.360, 0.000]]
}

***

--- 2 ---
{
  "formula": "Ag2Bi2S",
  "functional": "GGA-PBE",
  "state": "optimized geometry",
  "lattice_angstrom": [[-4.888, 3.755, -4.950], [-1.771, -6.880, -3.469], [-3.037, -0.528, 2.598]],
  "species": ["S", "S", "Bi", "Bi", "Bi", "Bi", "Ag", "Ag", "Ag", "Ag"],
  "frac_coords": [[0.000, 0.000, 0.000], [0.500, 0.500, 0.000], [0.316, 0.816, 0.000], [0.816, 0.684, 0.000], [0.684, 0.184, 0.000], [0.184, 0.316, 0.000], [0.123, 0.623, 0.500], [0.623, 0.877, 0.500], [0.877, 0.377, 0.500], [0.377, 0.123, 0.500]]
}

***

It is 1 that is the least stable of them.

***

--- 1 ---
{
  "formula": "AgBi3S",
  "functional": "GGA-PBE",
  "state": "optimized geometry",
  "lattice_angstrom": [[5.404, 0.000, 0.000], [0.000, 5.404, 0.000], [0.000, 0.000, 5.404]],
  "species": ["S", "Bi", "Bi", "Bi", "Ag"],
  "frac_coords": [[0.000, 0.000, 0.000], [0.000, 0.500, 0.000], [0.000, 0.000, 0.500], [0.500, 0.000, 0.000], [0.500, 0.500, 0.500]]
}

***

--- 2 ---
{
  "formula": "AgBi3S",
  "functional": "GGA-PBE",
  "state": "optimized geometry",
  "lattice_angstrom": [[-5.168, 0.407, 1.778], [0.423, -4.929, 2.358], [1.774, 2.361, 4.616]],
  "species": ["S", "Bi", "Bi", "Bi", "Ag"],
  "frac_coords": [[0.500, 0.500, 0.500], [0.000, 0.500, 0.000], [0.000, 0.000, 0.500], [0.500, 0.000, 0.000], [0.000, 0.000, 0.000]]
}

***

It is 2 that is the least stable of them.

***

--- 1 ---
{
  "formula": "AgBiS3",
  "functional": "GGA-PBE",
  "state": "optimized geometry",
  "lattice_angstrom": [[6.172, 0.541, 0.474], [1.475, 6.017, 0.474], [1.475, 1.265, 5.902]],
  "species": ["Ag", "Bi", "S", "S", "S"],
  "frac_coords": [[0.947, 0.947, 0.947], [0.201, 0.201, 0.201], [0.626, 0.175, 0.175], [0.175, 0.626, 0.175], [0.175, 0.175, 0.626]]
}

***

--- 2 ---
{
  "formula": "AgBiS3",
  "functional": "GGA-PBE",
  "state": "optimized geometry",
  "lattice_angstrom": [[4.159, -0.308, -0.100], [-0.446, 6.057, 0.854], [-0.290, 1.293, 10.704]],
  "species": ["Ag", "Ag", "Bi", "Bi", "S", "S", "S", "S", "S", "S"],
  "frac_coords": [[0.546, 0.719, 0.312], [0.454, 0.281, 0.688], [0.230, 0.226, 0.109], [0.770, 0.774, 0.891], [0.803, 0.407, 0.476], [0.197, 0.593, 0.524], [0.694, 0.342, 0.900], [0.283, 0.862, 0.721], [0.306, 0.658, 0.100], [0.717, 0.138, 0.279]]
}

***

--- 3 ---
{
  "formula": "AgBiS3",
  "functional": "GGA-PBE",
  "state": "optimized geometry",
  "lattice_angstrom": [[4.812, 0.000, 0.000], [0.000, 4.812, 0.000], [0.000, 0.000, 4.812]],
  "species": ["S", "S", "S", "Bi", "Ag"],
  "frac_coords": [[0.000, 0.500, 0.000], [0.000, 0.000, 0.500], [0.500, 0.000, 0.000], [0.500, 0.500, 0.500], [0.000, 0.000, 0.000]]
}

***

It is 3 that is the least stable of them.

***

--- 1 ---
{
  "formula": "Ag2BiS2",
  "functional": "GGA-PBE",
  "state": "optimized geometry",
  "lattice_angstrom": [[4.382, 0.000, 0.000], [0.000, 4.382, 0.000], [2.191, 2.191, 5.569]],
  "species": ["S", "S", "Bi", "Ag", "Ag"],
  "frac_coords": [[0.750, 0.250, 0.500], [0.250, 0.750, 0.500], [0.000, 0.000, 0.000], [0.377, 0.377, 0.245], [0.623, 0.623, 0.755]]
}

***

--- 2 ---
{
  "formula": "Ag2BiS2",
  "functional": "GGA-PBE",
  "state": "optimized geometry",
  "lattice_angstrom": [[7.672, 0.000, 0.000], [0.000, 7.672, 0.000], [0.000, 0.000, 3.597]],
  "species": ["S", "S", "S", "S", "Bi", "Bi", "Ag", "Ag", "Ag", "Ag"],
  "frac_coords": [[0.325, 0.825, 0.000], [0.825, 0.675, 0.000], [0.675, 0.175, 0.000], [0.175, 0.325, 0.000], [0.000, 0.000, 0.000], [0.500, 0.500, 0.000], [0.130, 0.630, 0.500], [0.630, 0.870, 0.500], [0.870, 0.370, 0.500], [0.370, 0.130, 0.500]]
}

***

It is 1 that is the least stable of them.